Sm6Y2Tm3 | Alexandria | PBE-GGA | optimized geometry; formation energy from the elements = 0.08 eV/atom; offset from the most stable computed form = 0.000 eV per formula unit; mass density = 7.306 g/cm³; magnetic moment = 0.00 μB/f.u.
1.0
5.627 -1.625 1.679
-1.590 7.654 3.203
2.619 6.933 13.619
Sm Y Tm
6 2 3
Cartesian
6.401 7.977 14.990
6.306 6.354 11.832
0.255 4.985 3.512
0.350 6.608 6.669
3.801 8.977 11.129
2.856 3.986 7.372
2.641 2.607 4.158
4.015 10.356 14.344
0.000 0.000 0.000
3.470 7.617 7.906
3.186 5.345 10.595